The following is a PBE-GGA calculation of a relaxed structure of Li2TbSmSe4, from the Alexandria database.

The structure belongs to space group P2/m (No. 10); the cell edges are 6.929, 4.123 and 7.139 Å and the angles 90.00°, 110.03° and 90.00°. Symmetry generates all atoms from Li at (0.000, 0.000, 0.000), Li at (0.000, 0.500, 0.500), Tb at (0.500, 0.000, 0.500), Sm at (0.500, 0.500, 0.000), Se at (0.243, 0.000, 0.744) and Se at (0.245, 0.500, 0.252).

For the formation energy from raw total energies, the calculation gives -162.7 kJ/mol of atoms.